## Pm5Tl2Pt (PBE-GGA)

Data for crystalline Pm5Tl2Pt at its relaxed geometry.

Structure (POSCAR):
```
Pm5Tl2Pt
1.0
-3.341 -3.386 0.999
4.615 -5.449 -3.037
5.301 -1.866 11.404
Pm Tl Pt
10 4 2
direct
0.000 0.500 0.000 Pm
0.500 0.319 0.574 Pm
0.000 0.863 0.210 Pm
0.000 0.000 0.500 Pm
0.500 0.819 0.926 Pm
0.500 0.681 0.426 Pm
0.000 0.363 0.290 Pm
0.000 0.137 0.790 Pm
0.500 0.181 0.074 Pm
0.000 0.637 0.710 Pm
0.500 0.083 0.333 Tl
0.500 0.583 0.167 Tl
0.500 0.417 0.833 Tl
0.500 0.917 0.667 Tl
0.000 0.000 0.000 Pt
0.000 0.500 0.500 Pt
```

Values from the calculation:
**E_form**: -0.51 eV per atom
**Total DFT energy (no corrections)**: -0.355 Ry per atom
**Relative energy among the computed polymorphs**: 0.00 eV/f.u.

***

## Pm3Tl2Pt (PBE-GGA)

Data for crystalline Pm3Tl2Pt at its relaxed geometry.

Structure (POSCAR):
```
Pm3Tl2Pt
1.0
-2.737 4.315 -3.912
-2.267 -5.123 -4.063
-4.338 -1.181 7.025
Pm Tl Pt
6 4 2
direct
0.057 0.090 0.296 Pm
0.371 0.250 0.000 Pm
0.943 0.910 0.704 Pm
0.761 0.410 0.704 Pm
0.239 0.590 0.296 Pm
0.629 0.750 0.000 Pm
0.571 0.048 0.342 Tl
0.771 0.548 0.342 Tl
0.229 0.452 0.658 Tl
0.429 0.952 0.658 Tl
0.142 0.750 0.000 Pt
0.858 0.250 0.000 Pt
```

Values from the calculation:
**E_form**: -0.52 eV per atom
**Total DFT energy (no corrections)**: -0.345 Ry per atom

***

## Pm5Tl2Pt2 (PBE-GGA)

Data for crystalline Pm5Tl2Pt2 at its relaxed geometry.

Structure (POSCAR):
```
Pm5Tl2Pt2
1.0
-4.386 3.847 -4.648
1.137 -6.003 -6.041
-6.995 -0.992 5.780
Pm Tl Pt
10 4 4
direct
0.655 0.059 0.759 Pm
0.845 0.800 0.241 Pm
0.155 0.200 0.759 Pm
0.345 0.700 0.759 Pm
0.655 0.300 0.241 Pm
0.000 0.000 0.000 Pm
0.845 0.559 0.759 Pm
0.500 0.500 0.000 Pm
0.345 0.941 0.241 Pm
0.155 0.441 0.241 Pm
0.500 0.286 0.572 Tl
0.000 0.214 0.428 Tl
0.500 0.714 0.428 Tl
0.000 0.786 0.572 Tl
0.136 0.621 0.000 Pt
0.364 0.121 0.000 Pt
0.864 0.379 0.000 Pt
0.636 0.879 0.000 Pt
```

Values from the calculation:
**E_form**: -0.68 eV per atom
**Total DFT energy (no corrections)**: -0.381 Ry per atom

***

## Pm6TlPt2 (PBE-GGA)

Data for crystalline Pm6TlPt2 at its relaxed geometry.

Structure (POSCAR):
```
Pm6TlPt2
1.0
-2.411 3.121 7.895
6.589 -5.864 0.287
3.127 6.553 -5.017
Pm Pt Tl
12 4 2
direct
0.800 0.766 0.566 Pm
0.200 0.234 0.434 Pm
0.110 0.293 0.818 Pm
0.475 0.293 0.182 Pm
0.306 0.977 0.671 Pm
0.890 0.707 0.182 Pm
0.525 0.707 0.818 Pm
0.200 0.766 0.966 Pm
0.694 0.023 0.329 Pm
0.694 0.366 0.671 Pm
0.800 0.234 0.034 Pm
0.306 0.634 0.329 Pm
0.655 0.000 0.655 Pt
0.500 0.369 0.869 Pt
0.500 0.631 0.131 Pt
0.345 0.000 0.345 Pt
0.000 0.000 0.000 Tl
0.000 0.500 0.500 Tl
```

Values from the calculation:
**E_form**: -0.64 eV per atom
**Total DFT energy (no corrections)**: -0.398 Ry per atom

***

## Pm5TlPt4 (PBE-GGA)

Data for crystalline Pm5TlPt4 at its relaxed geometry.

Structure (POSCAR):
```
Pm5TlPt4
1.0
-2.649 -0.591 2.385
2.313 -1.781 2.129
4.259 15.887 8.666
Pm Pt Tl
5 4 1
direct
0.500 0.500 0.120 Pm
0.500 0.500 0.500 Pm
0.500 0.500 0.880 Pm
0.500 0.500 0.309 Pm
0.500 0.500 0.691 Pm
0.000 0.000 0.405 Pt
0.000 0.000 0.211 Pt
0.000 0.000 0.595 Pt
0.000 0.000 0.789 Pt
0.000 0.000 0.000 Tl
```

Values from the calculation:
**E_form**: -0.94 eV per atom
**Total DFT energy (no corrections)**: -0.438 Ry per atom

***

## Pm6Tl2Pt (PBE-GGA)

Data for crystalline Pm6Tl2Pt at its relaxed geometry.

Structure (POSCAR):
```
Pm6Tl2Pt
1.0
3.922 0.000 0.000
0.000 8.096 -3.728
0.000 -0.820 8.874
Pm Tl Pt
6 2 1
direct
0.500 0.398 0.398 Pm
0.000 0.755 0.755 Pm
0.000 0.245 0.000 Pm
0.000 0.000 0.245 Pm
0.500 0.000 0.602 Pm
0.500 0.602 0.000 Pm
0.000 0.667 0.333 Tl
0.000 0.333 0.667 Tl
0.500 0.000 0.000 Pt
```

Values from the calculation:
**E_form**: -0.46 eV per atom
**Total DFT energy (no corrections)**: -0.354 Ry per atom
**Relative energy among the computed polymorphs**: 0.00 eV/f.u.

***

## Pm12TlPt6 (PBE-GGA)

Data for crystalline Pm12TlPt6 at its relaxed geometry.

Structure (POSCAR):
```
Pm12TlPt6
1.0
-2.367 6.769 4.851
-5.956 -5.920 2.106
7.000 -2.888 4.197
Pm Pt Tl
12 6 1
direct
0.082 0.666 0.931 Pm
0.918 0.334 0.069 Pm
0.666 0.931 0.082 Pm
0.577 0.431 0.824 Pm
0.334 0.069 0.918 Pm
0.176 0.423 0.569 Pm
0.569 0.176 0.423 Pm
0.824 0.577 0.431 Pm
0.423 0.569 0.176 Pm
0.931 0.082 0.666 Pm
0.431 0.824 0.577 Pm
0.069 0.918 0.334 Pm
0.141 0.609 0.310 Pt
0.859 0.391 0.690 Pt
0.391 0.690 0.859 Pt
0.310 0.141 0.609 Pt
0.690 0.859 0.391 Pt
0.609 0.310 0.141 Pt
0.000 0.000 0.000 Tl
```

Values from the calculation:
**E_form**: -0.67 eV per atom
**Total DFT energy (no corrections)**: -0.419 Ry per atom
**Relative energy among the computed polymorphs**: 1.79 eV/f.u.

***

## PmYTlPt (PBE-GGA)

Data for crystalline PmYTlPt at its relaxed geometry.

Structure (POSCAR):
```
PmYTlPt
1.0
5.222 0.000 0.000
2.611 4.522 0.000
2.611 1.507 4.264
Pt Tl Y Pm
1 1 1 1
direct
0.500 0.500 0.500 Pt
0.000 0.000 0.000 Tl
0.750 0.750 0.750 Y
0.250 0.250 0.250 Pm
```

Values from the calculation:
**E_form**: -0.66 eV per atom
**Total DFT energy (no corrections)**: -0.409 Ry per atom

***

## PmTm3Pt (PBE-GGA)

Data for crystalline PmTm3Pt at its relaxed geometry.

Structure (POSCAR):
```
PmTm3Pt
1.0
-0.984 -0.858 -4.515
2.692 -7.984 0.930
-6.129 -3.528 2.006
Pm Tm Pt
2 6 2
direct
0.976 0.051 0.102 Pm
0.476 0.302 0.800 Pm
0.976 0.522 0.465 Tm
0.476 0.835 0.889 Tm
0.476 0.830 0.437 Tm
0.976 0.087 0.606 Tm
0.976 0.518 0.012 Tm
0.476 0.266 0.296 Tm
0.476 0.596 0.220 Pt
0.976 0.757 0.682 Pt
```

Values from the calculation:
**E_form**: -0.53 eV per atom
**Total DFT energy (no corrections)**: -0.395 Ry per atom
**Relative energy among the computed polymorphs**: 0.00 eV/f.u.

***

## Pm2TmPt3 (PBE-GGA)

Data for crystalline Pm2TmPt3 at its relaxed geometry.

Structure (POSCAR):
```
Pm2TmPt3
1.0
-3.108 0.892 2.591
3.436 -1.220 4.541
1.675 6.031 -3.381
Pm Tm Pt
2 1 3
direct
0.669 0.169 0.337 Pm
0.331 0.831 0.663 Pm
0.000 0.500 0.000 Tm
0.659 0.659 0.317 Pt
0.000 0.000 0.000 Pt
0.341 0.341 0.683 Pt
```

Values from the calculation:
**E_form**: -1.09 eV per atom
**Total DFT energy (no corrections)**: -0.473 Ry per atom

***

## PmTm2Pt2 (PBE-GGA)

Data for crystalline PmTm2Pt2 at its relaxed geometry.

Structure (POSCAR):
```
PmTm2Pt2
1.0
4.632 0.000 0.000
0.000 5.339 -0.583
0.000 -2.427 10.599
Tm Pm Pt
4 2 4
direct
0.250 0.778 0.885 Tm
0.750 0.715 0.472 Tm
0.750 0.222 0.115 Tm
0.250 0.285 0.528 Tm
0.750 0.205 0.782 Pm
0.250 0.795 0.218 Pm
0.250 0.322 0.975 Pt
0.750 0.143 0.367 Pt
0.250 0.857 0.633 Pt
0.750 0.678 0.025 Pt
```

Values from the calculation:
**E_form**: -1.05 eV per atom
**Total DFT energy (no corrections)**: -0.456 Ry per atom

***

## PmTm5Pt4 (PBE-GGA)

Data for crystalline PmTm5Pt4 at its relaxed geometry.

Structure (POSCAR):
```
PmTm5Pt4
1.0
4.228 0.000 0.000
0.000 7.477 -1.282
-2.114 -2.357 8.826
Pt Pm Tm
4 1 5
direct
0.704 0.204 0.409 Pt
0.000 0.734 0.000 Pt
0.000 0.266 0.000 Pt
0.296 0.796 0.591 Pt
0.500 0.000 0.000 Pm
0.166 0.925 0.332 Tm
0.834 0.075 0.668 Tm
0.500 0.500 0.000 Tm
0.166 0.407 0.332 Tm
0.834 0.593 0.668 Tm
```

Values from the calculation:
**E_form**: -1.02 eV per atom
**Total DFT energy (no corrections)**: -0.452 Ry per atom